## Li3Er2BiS6 (GGA-PBE)

Data for an optimized crystal structure of Li3Er2BiS6.

Values from the calculation:
Spin magnetization in μB per atom: 0.000
VASP energy in eV/atom: -5.109
Symmetry: C2/m (12)

abc: 6.791 6.791 6.611
angles: 99.89 99.89 120.01
Fractional coordinates of all 12 atoms:
Li  0.000  0.000  0.000
Li  0.338  0.662  0.000
Li  0.662  0.338  0.000
Er  0.167  0.833  0.500
Er  0.833  0.167  0.500
Bi  0.500  0.500  0.500
S  0.072  0.416  0.248
S  0.241  0.241  0.754
S  0.416  0.072  0.248
S  0.584  0.928  0.752
S  0.759  0.759  0.246
S  0.928  0.584  0.752